This record from Alexandria via LeMat-Bulk describes a relaxed structure of K3CrSe. The functional is GGA-PBE.

Results
- Offset from the most stable computed form: 0.00 eV/f.u.
- Total energy: -16.529 eV/cell
- E_form (uncorrected): -26 meV/atom
- Calculated volume: 49.860 Å³ per atom

Cell and atoms, written as CIF:
```
data_K3CrSe
_chemical_formula_sum 'K3 Cr1 Se1'
_cell_length_a 6.294
_cell_length_b 6.294
_cell_length_c 6.294
_cell_angle_alpha 90.00
_cell_angle_beta 90.00
_cell_angle_gamma 90.00
_space_group_name_H-M_alt 'P m -3 m'
_space_group_IT_number 221
_space_group_name_Hall '-P 4 2 3'
loop_
_atom_site_label
_atom_site_type_symbol
_atom_site_fract_x
_atom_site_fract_y
_atom_site_fract_z
K1 K 0.000 0.000 0.500
Cr1 Cr 0.500 0.500 0.500
Se1 Se 0.000 0.000 0.000
```

=====

This record from Alexandria via LeMat-Bulk describes a relaxed structure of KCr5Se8. The functional is GGA-PBE.

Results
- Total energy: -172.276 eV/cell
- E_form (uncorrected): -646 meV/atom
- Calculated volume: 22.010 Å³ per atom

Cell and atoms, written as CIF:
```
data_KCr5Se8
_chemical_formula_sum 'K2 Cr10 Se16'
_cell_length_a 19.039
_cell_length_b 3.698
_cell_length_c 9.081
_cell_angle_alpha 90.00
_cell_angle_beta 105.46
_cell_angle_gamma 90.00
_space_group_name_H-M_alt 'C 1 2/m 1'
_space_group_IT_number 12
loop_
_space_group_symop_operation_xyz
'x,y,z'
'-x,-y,-z'
'-x,y,-z'
'x,-y,z'
'x+1/2,y+1/2,z'
'-x+1/2,-y+1/2,-z'
'-x+1/2,y+1/2,-z'
'x+1/2,-y+1/2,z'
loop_
_atom_site_label
_atom_site_type_symbol
_atom_site_fract_x
_atom_site_fract_y
_atom_site_fract_z
K1 K 0.000 0.000 0.000
Cr1 Cr 0.000 0.500 0.500
Cr2 Cr 0.158 0.000 0.475
Cr3 Cr 0.204 0.000 0.834
Se1 Se 0.076 0.000 0.652
Se2 Se 0.084 0.500 0.324
Se3 Se 0.171 0.500 0.988
Se4 Se 0.238 0.500 0.656
```

=====

This record from Alexandria via LeMat-Bulk describes a relaxed structure of KCr2Se2. The functional is GGA-PBE.

Results
- Total energy: -56.228 eV/cell
- E_form (uncorrected): -160 meV/atom
- Calculated volume: 19.262 Å³ per atom

Cell and atoms, written as CIF:
```
data_KCr2Se2
_chemical_formula_sum 'K2 Cr4 Se4'
_cell_length_a 4.861
_cell_length_b 4.861
_cell_length_c 8.151
_cell_angle_alpha 90.00
_cell_angle_beta 90.00
_cell_angle_gamma 90.00
_space_group_name_H-M_alt 'I 4/m m m'
_space_group_IT_number 139
_space_group_name_Hall '-I 4 2'
loop_
_atom_site_label
_atom_site_type_symbol
_atom_site_fract_x
_atom_site_fract_y
_atom_site_fract_z
K1 K 0.000 0.000 0.000
Cr1 Cr 0.000 0.000 0.388
Se1 Se 0.000 0.500 0.250
```

=====

This record from Alexandria via LeMat-Bulk describes a relaxed structure of KCr2Se. The functional is GGA-PBE.

Results
- Total energy: -21.066 eV/cell
- E_form (uncorrected): 691 meV/atom
- Calculated volume: 23.289 Å³ per atom

Cell and atoms, written as CIF:
```
data_KCr2Se
_chemical_formula_sum 'K1 Cr2 Se1'
_cell_length_a 4.441
_cell_length_b 4.441
_cell_length_c 4.723
_cell_angle_alpha 90.00
_cell_angle_beta 90.00
_cell_angle_gamma 90.00
_space_group_name_H-M_alt 'P 4/m m m'
_space_group_IT_number 123
_space_group_name_Hall '-P 4 2'
loop_
_atom_site_label
_atom_site_type_symbol
_atom_site_fract_x
_atom_site_fract_y
_atom_site_fract_z
K1 K 0.000 0.000 0.000
Cr1 Cr 0.000 0.500 0.500
Se1 Se 0.500 0.500 0.000
```

=====

This record from Alexandria via LeMat-Bulk describes a relaxed structure of KCr4Se. The functional is GGA-PBE.

Results
- Total energy: -143.997 eV/cell
- E_form (uncorrected): 1179 meV/atom
- Calculated volume: 16.062 Å³ per atom

Cell and atoms, written as CIF:
```
data_KCr4Se
_chemical_formula_sum 'K4 Cr16 Se4'
_cell_length_a 7.278
_cell_length_b 7.278
_cell_length_c 7.278
_cell_angle_alpha 90.00
_cell_angle_beta 90.00
_cell_angle_gamma 90.00
_space_group_name_H-M_alt 'F -4 3 m'
_space_group_IT_number 216
_space_group_name_Hall 'F -4 2 3'
loop_
_atom_site_label
_atom_site_type_symbol
_atom_site_fract_x
_atom_site_fract_y
_atom_site_fract_z
K1 K 0.000 0.000 0.000
Cr1 Cr 0.114 0.114 0.386
Se1 Se 0.250 0.250 0.750
```

=====

This record from Alexandria via LeMat-Bulk describes a relaxed structure of KCr3Se6. The functional is GGA-PBE.

Results
- Total energy: -113.261 eV/cell
- E_form (uncorrected): -576 meV/atom
- Calculated volume: 23.158 Å³ per atom

Cell and atoms, written as CIF:
```
data_KCr3Se6
_chemical_formula_sum 'K2 Cr6 Se12'
_cell_length_a 11.389
_cell_length_b 3.623
_cell_length_c 12.003
_cell_angle_alpha 90.00
_cell_angle_beta 110.73
_cell_angle_gamma 90.00
_space_group_name_H-M_alt 'P 1 21/m 1'
_space_group_IT_number 11
loop_
_space_group_symop_operation_xyz
'x,y,z'
'-x,-y,-z'
'-x,y+1/2,-z'
'x,-y+1/2,z'
loop_
_atom_site_label
_atom_site_type_symbol
_atom_site_fract_x
_atom_site_fract_y
_atom_site_fract_z
K1 K 0.129 0.250 0.387
Cr1 Cr 0.151 0.250 0.040
Cr2 Cr 0.282 0.750 0.762
Cr3 Cr 0.490 0.750 0.300
Se1 Se 0.053 0.750 0.128
Se2 Se 0.133 0.250 0.672
Se3 Se 0.240 0.750 0.956
Se4 Se 0.333 0.250 0.245
Se5 Se 0.364 0.750 0.588
Se6 Se 0.445 0.250 0.864
```

=====

This record from Alexandria via LeMat-Bulk describes a relaxed structure of KCrSiSe4. The functional is GGA-PBE.

Results
- Total energy: -68.506 eV/cell
- E_form (uncorrected): -596 meV/atom
- Calculated volume: 26.947 Å³ per atom

Cell and atoms, written as CIF:
```
data_KCrSiSe4
_chemical_formula_sum 'K2 Cr2 Si2 Se8'
_cell_length_a 6.408
_cell_length_b 6.980
_cell_length_c 8.458
_cell_angle_alpha 90.00
_cell_angle_beta 94.32
_cell_angle_gamma 90.00
_space_group_name_H-M_alt 'P 1 21/m 1'
_space_group_IT_number 11
loop_
_space_group_symop_operation_xyz
'x,y,z'
'-x,-y,-z'
'-x,y+1/2,-z'
'x,-y+1/2,z'
loop_
_atom_site_label
_atom_site_type_symbol
_atom_site_fract_x
_atom_site_fract_y
_atom_site_fract_z
K1 K 0.232 0.250 0.065
Cr1 Cr 0.168 0.750 0.451
Si1 Si 0.342 0.250 0.650
Se1 Se 0.098 0.009 0.685
Se2 Se 0.361 0.750 0.186
Se3 Se 0.471 0.250 0.412
```

=====

This record from Alexandria via LeMat-Bulk describes a relaxed structure of K2CrSiSe4. The functional is GGA-PBE.

Results
- Total energy: -143.965 eV/cell
- E_form (uncorrected): -601 meV/atom
- Calculated volume: 23.855 Å³ per atom

Cell and atoms, written as CIF:
```
data_K2CrSiSe4
_chemical_formula_sum 'K8 Cr4 Si4 Se16'
_cell_length_a 8.138
_cell_length_b 8.186
_cell_length_c 11.459
_cell_angle_alpha 90.00
_cell_angle_beta 90.00
_cell_angle_gamma 90.00
_space_group_name_H-M_alt 'I m m a'
_space_group_IT_number 74
_space_group_name_Hall '-I 2b 2'
loop_
_atom_site_label
_atom_site_type_symbol
_atom_site_fract_x
_atom_site_fract_y
_atom_site_fract_z
K1 K 0.000 0.000 0.000
K2 K 0.250 0.250 0.250
Cr1 Cr 0.250 0.250 0.750
Si1 Si 0.000 0.000 0.500
Se1 Se 0.000 0.047 0.731
Se2 Se 0.215 0.250 0.525
```

=====

Which of these has the highest total energy?
K3CrSe